First-principles (PBE) data for a geometry-optimized CaErSe2F structure, as listed in the Alexandria database.

Output
As for the uncorrected formation energy: -2441 meV per atom. Its space group is P4/nmm.

Lattice parameters (Å, degrees): 3.992 3.992 14.318 90.00 90.00 90.00
Positions (direct):
Er 0.000 0.500 0.873
Er 0.500 0.000 0.127
Se 0.000 0.500 0.090
Se 0.500 0.000 0.309
Se 0.500 0.000 0.910
Se 0.000 0.500 0.691
F 0.000 0.000 0.500
F 0.500 0.500 0.500
Ca 0.500 0.000 0.591
Ca 0.000 0.500 0.409

=====

First-principles (PBE) data for a geometry-optimized MnVPd3 structure, as listed in the Alexandria database.

Output
Its space group is Pmmn. The value obtained for the formation energy is 0.01 eV/atom.

Lattice parameters (Å, degrees): 4.214 5.388 7.037 90.00 90.00 90.00
Site moments in Bohr magnetons follow the coordinates.
Positions (direct):
Mn 0.750 0.250 0.160  3.97
Mn 0.250 0.750 0.840  3.97
Pd 0.750 0.491 0.715  0.09
Pd 0.250 0.509 0.285  0.09
Pd 0.750 0.750 0.068  0.15
Pd 0.250 0.991 0.285  0.09
Pd 0.750 0.009 0.715  0.09
Pd 0.250 0.250 0.932  0.15
V 0.750 0.750 0.427  -0.41
V 0.250 0.250 0.573  -0.41

=====

First-principles (PBE) data for a geometry-optimized Zn3BiF structure, as listed in the Alexandria database.

Output
As for the uncorrected formation energy: 99 meV per atom. Its space group is Pm-3m.

Lattice parameters (Å, degrees): 5.520 5.520 5.520 90.00 90.00 90.00
Positions (direct):
Zn 0.000 0.500 0.000
Zn 0.000 0.000 0.500
Zn 0.500 0.000 0.000
F 0.500 0.500 0.500
Bi 0.000 0.000 0.000

=====

First-principles (PBE) data for a geometry-optimized CdCo2Se structure, as listed in the Alexandria database.

Output
As for the uncorrected formation energy: 375 meV per atom. Its space group is Cmmm.

Lattice parameters (Å, degrees): 6.873 4.327 3.148 89.96 62.80 128.90
Site moments in Bohr magnetons follow the coordinates.
Positions (direct):
Cd 0.500 0.500 0.000  -0.04
Co 0.500 0.000 0.500  1.10
Co 0.000 0.000 0.000  1.10
Se 0.000 0.500 0.500  0.01

=====

First-principles (PBE) data for a geometry-optimized ZrSnAs2Se structure, as listed in the Alexandria database.

Output
As for the uncorrected formation energy: 670 meV per atom. Its space group is P4/mmm.

Lattice parameters (Å, degrees): 5.094 5.094 5.184 90.00 90.00 90.00
Positions (direct):
As 0.500 0.000 0.000
As 0.000 0.500 0.000
Zr 0.500 0.500 0.500
Sn 0.000 0.000 0.000
Se 0.000 0.000 0.500

=====

First-principles (PBE) data for a geometry-optimized Er8Ag2Sb structure, as listed in the Alexandria database.

Output
As for the uncorrected formation energy: -152 meV per atom. Its space group is C2/m.

Lattice parameters (Å, degrees): 5.498 8.124 8.124 115.92 99.48 99.48
Positions (direct):
Er 0.302 0.604 0.604
Er 0.500 0.766 0.234
Er 0.892 0.912 0.676
Er 0.108 0.088 0.324
Er 0.108 0.324 0.088
Er 0.892 0.676 0.912
Er 0.698 0.396 0.396
Er 0.500 0.234 0.766
Ag 0.000 0.304 0.696
Ag 0.000 0.696 0.304
Sb 0.500 0.000 0.000

=====

First-principles (PBE) data for a geometry-optimized Li4Al2Cd structure, as listed in the Alexandria database.

Output
Its space group is Imm2. The value obtained for the formation energy is -0.05 eV/atom.

Lattice parameters (Å, degrees): 5.565 5.736 5.736 59.13 60.97 60.97
Positions (direct):
Cd 0.000 0.993 0.007
Li 0.497 0.004 0.509
Li 0.011 0.490 0.997
Li 0.503 0.491 0.996
Li 0.989 0.003 0.510
Al 0.500 0.522 0.478
Al 0.000 0.498 0.502

=====

First-principles (PBE) data for a geometry-optimized PrDyZnPd structure, as listed in the Alexandria database.

Output
Its space group is P4mm. The value obtained for the formation energy is -0.57 eV/atom.

Lattice parameters (Å, degrees): 3.629 3.629 7.142 90.00 90.00 90.00
Positions (direct):
Pd 0.500 0.500 0.135
Zn 0.500 0.500 0.585
Dy 0.000 0.000 0.349
Pr 0.000 0.000 0.859

=====

First-principles (PBE) data for a geometry-optimized Pr2Nd4Dy3 structure, as listed in the Alexandria database.

Output
Its space group is C2/m. The value obtained for the formation energy is 0.05 eV/atom.

Lattice parameters (Å, degrees): 3.589 9.908 8.950 80.40 101.57 90.00
Positions (direct):
Nd 0.500 0.668 0.000
Nd 0.664 0.780 0.329
Nd 0.500 0.332 0.000
Nd 0.336 0.220 0.671
Pr 0.327 0.876 0.653
Pr 0.673 0.124 0.347
Dy 0.162 0.459 0.323
Dy 0.838 0.541 0.677
Dy 0.000 0.000 0.000

=====

First-principles (PBE) data for a geometry-optimized Ce6SiAs5 structure, as listed in the Alexandria database.

Output
As for the uncorrected formation energy: -1268 meV per atom. Its space group is C2/m.

Lattice parameters (Å, degrees): 7.296 7.297 7.296 60.00 80.40 70.51
Site moments in Bohr magnetons follow the coordinates.
Positions (direct):
Si 0.000 0.000 0.000  -0.03
As 0.500 0.832 0.335  -0.03
As 0.500 0.168 0.665  -0.03
As 0.000 0.667 0.667  -0.03
As 0.500 0.500 0.000  -0.03
As 0.000 0.333 0.333  -0.03
Ce 0.751 0.415 0.668  0.56
Ce 0.751 0.083 0.332  0.56
Ce 0.249 0.249 0.000  0.57
Ce 0.249 0.585 0.332  0.56
Ce 0.249 0.917 0.668  0.56
Ce 0.751 0.751 0.000  0.57

=====

First-principles (PBE) data for a geometry-optimized LaSm6Y5 structure, as listed in the Alexandria database.

Output
Its space group is Cmmm. The value obtained for the formation energy is 0.02 eV/atom.

Lattice parameters (Å, degrees): 11.425 5.113 8.091 71.54 81.85 63.41
Positions (direct):
Y 0.500 0.167 0.666
Y 0.500 0.833 0.334
Y 0.000 0.332 0.336
Y 0.500 0.500 0.000
Y 0.000 0.668 0.664
Sm 0.252 0.915 0.667
Sm 0.253 0.248 0.000
Sm 0.252 0.582 0.334
Sm 0.748 0.418 0.666
Sm 0.747 0.752 0.000
Sm 0.748 0.085 0.333
La 0.000 0.000 0.000

=====

First-principles (PBE) data for a geometry-optimized Hf2InIrBr structure, as listed in the Alexandria database.

Output
As for the uncorrected formation energy: 721 meV per atom. Its space group is P4/mmm.

Lattice parameters (Å, degrees): 4.994 4.817 4.994 90.00 90.00 90.00
Positions (direct):
In 0.500 0.500 0.500
Ir 0.000 0.500 0.000
Hf 0.500 0.000 0.000
Hf 0.000 0.000 0.500
Br 0.000 0.000 0.000

=====

Total energy / eV/f.u.: -27.6 -33.8 -9.1 -17.1 -22.0 -48.0 -16.4 -18.1 -42.0 -79.5 -65.3 -29.6
Magnetization / Bohr magnetons per cell: 0.00 8.08 0.00 2.09 0.00 0.01 0.00 0.00 0.00 3.73 0.00 0.00